No. 1
Crystalline CdNi10 at its relaxed geometry. Source: OQMD, functional PBE.

Output
Size of the total moment = 0.50 μB per atom
Electronic total energy = -111.23 eV/cell
Symmetry = C2/m, No. 12
Formation energy from the elements = 0.087 eV per atom

Unit cell a=4.2751 b=4.2751 c=26.5689 alpha=90.18 beta=90.18 gamma=48.08
With the nearest neighbours (Å) after each atom.
Positions (direct):
Cd  0.8449  0.8449  0.1738  6 Ni 2.64-2.87
Cd  0.1551  0.1551  0.8262  6 Ni 2.64-2.87
Ni  0.1462  0.1462  0.2205  6 Ni 2.44-2.47, 3 Cd 2.64-2.66
Ni  0.4489  0.4489  0.2476  9 Ni 2.44-2.51
Ni  0.7473  0.7473  0.2777  11 Ni 2.44-2.49
Ni  0.0466  0.0466  0.3081  12 Ni 2.46-2.49
Ni  0.3474  0.3474  0.3371  12 Ni 2.46-2.51
Ni  0.6477  0.6477  0.3668  12 Ni 2.47-2.49
Ni  0.9480  0.9480  0.3968  12 Ni 2.46-2.48
Ni  0.2490  0.2490  0.4260  12 Ni 2.46-2.49
Ni  0.5495  0.5495  0.4556  12 Ni 2.47-2.48
Ni  0.8498  0.8498  0.4853  12 Ni 2.47-2.48
Ni  0.1502  0.1502  0.5147  12 Ni 2.47-2.48
Ni  0.4505  0.4505  0.5444  12 Ni 2.47-2.48
Ni  0.7510  0.7510  0.5740  12 Ni 2.46-2.49
Ni  0.0520  0.0520  0.6032  12 Ni 2.46-2.48
Ni  0.3523  0.3523  0.6332  12 Ni 2.47-2.49
Ni  0.6526  0.6526  0.6629  12 Ni 2.46-2.51
Ni  0.9534  0.9534  0.6919  12 Ni 2.46-2.49
Ni  0.2527  0.2527  0.7223  11 Ni 2.44-2.49
Ni  0.5511  0.5511  0.7524  9 Ni 2.44-2.51
Ni  0.8538  0.8538  0.7795  6 Ni 2.44-2.47, 3 Cd 2.64-2.66

No. 2
Crystalline CdNi15 at its relaxed geometry. Source: OQMD, functional PBE.

Output
Size of the total moment = 0.29 μB per atom
Electronic total energy = -165.12 eV/cell
Symmetry = Pm, No. 6
Formation energy from the elements = 0.116 eV per atom
Distance to the lowest polymorph of the same formula = 47.0 meV per atom

Unit cell a=5.0259 b=3.4768 c=33.4983 alpha=90.00 beta=90.00 gamma=90.00
With the nearest neighbours (Å) after each atom.
Positions (direct):
Cd  0.1250  0.0000  0.2123  7 Ni 2.55-2.85
Cd  0.8750  0.5000  0.7875  7 Ni 2.55-2.85
Ni  0.6250  0.0000  0.2248  5 Ni 2.42-2.44, 2 Cd 2.55
Ni  0.8693  0.5000  0.2607  9 Ni 2.44-2.57, 2 Cd 2.70
Ni  0.3807  0.5000  0.2607  9 Ni 2.44-2.57, 2 Cd 2.70
Ni  0.6250  0.0000  0.2971  12 Ni 2.42-2.51
Ni  0.1250  0.0000  0.2974  11 Ni 2.47-2.51
Ni  0.3746  0.5000  0.3343  12 Ni 2.47-2.52
Ni  0.8754  0.5000  0.3343  12 Ni 2.47-2.52
Ni  0.6250  0.0000  0.3712  12 Ni 2.46-2.51
Ni  0.1250  0.0000  0.3717  12 Ni 2.45-2.51
Ni  0.8746  0.5000  0.4080  12 Ni 2.47-2.52
Ni  0.3754  0.5000  0.4080  12 Ni 2.47-2.52
Ni  0.6250  0.0000  0.4446  12 Ni 2.46-2.51
Ni  0.1250  0.0000  0.4447  12 Ni 2.45-2.51
Ni  0.3751  0.5000  0.4816  12 Ni 2.47-2.51
Ni  0.8749  0.5000  0.4816  12 Ni 2.47-2.51
Ni  0.1251  0.0000  0.5184  12 Ni 2.47-2.51
Ni  0.6249  0.0000  0.5184  12 Ni 2.47-2.51
Ni  0.8750  0.5000  0.5554  12 Ni 2.45-2.51
Ni  0.3750  0.5000  0.5554  12 Ni 2.47-2.51
Ni  0.6247  0.0000  0.5922  12 Ni 2.46-2.52
Ni  0.1253  0.0000  0.5922  12 Ni 2.46-2.52
Ni  0.8750  0.5000  0.6286  12 Ni 2.45-2.51
Ni  0.3750  0.5000  0.6291  12 Ni 2.46-2.51
Ni  0.6252  0.0000  0.6655  12 Ni 2.46-2.51
Ni  0.1248  0.0000  0.6655  12 Ni 2.46-2.51
Ni  0.8750  0.5000  0.7024  11 Ni 2.47-2.51
Ni  0.3750  0.5000  0.7026  12 Ni 2.43-2.51
Ni  0.1305  0.0000  0.7392  9 Ni 2.44-2.57, 2 Cd 2.70
Ni  0.6195  0.0000  0.7392  9 Ni 2.44-2.57, 2 Cd 2.70
Ni  0.3750  0.5000  0.7750  5 Ni 2.43-2.44, 2 Cd 2.55

No. 3
Crystalline CdNi7 at its relaxed geometry. Source: OQMD, functional PBE.

Output
Size of the total moment = 0.23 μB per atom
Electronic total energy = -77.73 eV/cell
Symmetry = P4mm, No. 99
Formation energy from the elements = 0.125 eV per atom

Unit cell a=2.7040 b=2.7040 c=36.0771 alpha=90.00 beta=90.00 gamma=90.00
With the nearest neighbours (Å) after each atom.
Positions (direct):
Cd  0.5000  0.5000  0.1731  4 Cd 2.70, 4 Ni 2.75
Cd  0.0000  0.0000  0.8268  4 Cd 2.70, 4 Ni 2.75
Ni  0.0000  0.0000  0.2278  8 Ni 2.43-2.70
Ni  0.5000  0.5000  0.2694  12 Ni 2.42-2.70
Ni  0.0000  0.0000  0.3107  12 Ni 2.42-2.70
Ni  0.5000  0.5000  0.3525  12 Ni 2.43-2.70
Ni  0.0000  0.0000  0.3943  12 Ni 2.44-2.70
Ni  0.5000  0.5000  0.4366  12 Ni 2.45-2.70
Ni  0.0000  0.0000  0.4788  12 Ni 2.45-2.70
Ni  0.5000  0.5000  0.5212  12 Ni 2.45-2.70
Ni  0.0000  0.0000  0.5636  12 Ni 2.44-2.70
Ni  0.5000  0.5000  0.6058  12 Ni 2.44-2.70
Ni  0.0000  0.0000  0.6477  12 Ni 2.43-2.70
Ni  0.5000  0.5000  0.6892  12 Ni 2.43-2.70
Ni  0.0000  0.0000  0.7306  12 Ni 2.43-2.70
Ni  0.5000  0.5000  0.7721  8 Ni 2.43-2.70